1.
The following is a DFT calculation (PBE) of a geometry-optimized RbTa3I structure.

Cell lengths 5.1980, 5.1980, 5.1980 Å; angles 90.00, 90.00, 90.00 degrees
Sites, in units of the cell vectors:
Rb (0.5000, 0.5000, 0.5000)
Ta (0.5000, 0.0000, 0.0000)
Ta (0.0000, 0.0000, 0.5000)
Ta (0.0000, 0.5000, 0.0000)
I (0.0000, 0.0000, 0.0000)

E_form (uncorrected) = 2.3003 eV/atom
M_tot = 2.2 μB/f.u.
Symmetry = Pm-3m

***

2.
The following is a DFT calculation (PBE) of a geometry-optimized Er11Zn9Au4 structure.

Cell lengths 3.6096, 12.6399, 12.6399 Å; angles 112.35, 90.00, 90.00 degrees
Sites, in units of the cell vectors:
Er (0.0000, 0.8298, 0.1702)
Er (0.0000, 0.2599, 0.2599)
Er (0.0000, 0.1702, 0.8298)
Er (0.0000, 0.7401, 0.7401)
Er (0.0000, 0.0708, 0.4132)
Er (0.0000, 0.9292, 0.5868)
Er (0.0000, 0.0000, 0.0000)
Er (0.0000, 0.5868, 0.9292)
Er (0.0000, 0.6494, 0.3506)
Er (0.0000, 0.3506, 0.6494)
Er (0.0000, 0.4132, 0.0708)
Zn (0.5000, 0.3705, 0.8559)
Zn (0.5000, 0.6295, 0.1441)
Zn (0.5000, 0.2053, 0.0430)
Zn (0.5000, 0.8559, 0.3705)
Zn (0.5000, 0.7947, 0.9570)
Zn (0.5000, 0.1441, 0.6295)
Zn (0.5000, 0.9570, 0.7947)
Zn (0.5000, 0.0430, 0.2053)
Zn (0.5000, 0.5000, 0.5000)
Au (0.5000, 0.4476, 0.2626)
Au (0.5000, 0.5524, 0.7375)
Au (0.5000, 0.7375, 0.5524)
Au (0.5000, 0.2626, 0.4476)

M_tot = 0.0 μB/f.u.
VASP energy = -86.78 eV/cell
Symmetry = Cmmm

***

3.
The following is a DFT calculation (PBE) of a geometry-optimized Tb4Tm7Sc structure.

Cell lengths 5.2507, 12.9636, 6.2126 Å; angles 94.82, 65.00, 78.32 degrees
Sites, in units of the cell vectors:
Tm (0.3260, 0.5343, 0.8137)
Tm (0.1631, 0.1020, 0.5718)
Tm (0.6740, 0.4657, 0.1863)
Tm (0.8369, 0.8980, 0.4282)
Tm (0.0398, 0.3715, 0.5488)
Tm (0.9602, 0.6285, 0.4512)
Tm (0.5000, 0.0000, 0.0000)
Sc (0.0000, 0.0000, 0.0000)
Tb (0.5905, 0.7356, 0.0834)
Tb (0.2571, 0.7841, 0.7018)
Tb (0.7429, 0.2159, 0.2982)
Tb (0.4095, 0.2644, 0.9166)

M_tot = 0.3 μB/f.u.
VASP energy = -53.61 eV/cell
Symmetry = C2/m